[1]
Material: Tb2FeNi3Ge4
Method: DFT, PBE
State: relaxed

Cell: 4.0389 4.0389 9.8618 Å, 90.00 90.00 90.00°
Closest atoms and distances in Å follow each position.
Sites, in units of the cell vectors:
Tb1 0.0000 0.5000 0.2479  6 Ni 3.08-3.20, 8 Ge 3.10-3.17, 2 Fe 3.20
Tb2 0.5000 0.0000 0.7521  6 Ni 3.08-3.20, 8 Ge 3.10-3.17, 2 Fe 3.20
Fe1 0.0000 0.0000 0.5000  4 Ge 2.39
Ni1 0.0000 0.5000 0.8697  5 Ge 2.36-2.39
Ni2 0.5000 0.0000 0.1303  5 Ge 2.36-2.39
Ni3 0.5000 0.5000 0.5000  4 Ge 2.39
Ge1 0.0000 0.0000 0.0000  4 Ni 2.39
Ge2 0.0000 0.5000 0.6302  3 Ni 2.36-2.39, 2 Fe 2.39
Ge3 0.5000 0.0000 0.3698  3 Ni 2.36-2.39, 2 Fe 2.39
Ge4 0.5000 0.5000 0.0000  4 Ni 2.39

Summary:
**ΔE_f**: -632 meV per atom
**E**: -5.985 eV per atom
**Density of states at the Fermi level**: 0.49 states/eV/atom
**Symmetry**: P-4m2, No. 115
**Total magnetic moment**: 0.0 μB per formula unit


[2]
Material: DyZn2Ni5
Method: DFT, PBE
State: relaxed

Cell: 3.6638 6.3274 9.8674 Å, 90.00 90.00 90.00°
Closest atoms and distances in Å follow each position.
Sites, in units of the cell vectors:
Dy1 0.0000 0.0000 0.0000  10 Ni 2.94-3.16, 4 Zn 3.14
Dy2 0.5000 0.5000 0.5000  10 Ni 2.94-3.16, 4 Zn 3.14
Zn1 0.0000 0.5000 0.2411  7 Ni 2.36-2.48
Zn2 0.0000 0.5000 0.7589  7 Ni 2.36-2.48
Zn3 0.5000 0.0000 0.2589  7 Ni 2.36-2.48
Zn4 0.5000 0.0000 0.7411  7 Ni 2.36-2.48
Ni1 0.0000 0.1923 0.3755  3 Zn 2.36-2.48, 4 Ni 2.43-2.52
Ni2 0.0000 0.1923 0.6245  3 Zn 2.36-2.48, 4 Ni 2.43-2.52
Ni3 0.0000 0.5000 0.0000  2 Zn 2.38, 8 Ni 2.52
Ni4 0.0000 0.8077 0.3755  3 Zn 2.36-2.48, 4 Ni 2.43-2.52
Ni5 0.0000 0.8077 0.6245  3 Zn 2.36-2.48, 4 Ni 2.43-2.52
Ni6 0.5000 0.0000 0.5000  2 Zn 2.38, 8 Ni 2.52
Ni7 0.5000 0.3077 0.1245  3 Zn 2.36-2.48, 4 Ni 2.43-2.52
Ni8 0.5000 0.3077 0.8755  3 Zn 2.36-2.48, 4 Ni 2.43-2.52
Ni9 0.5000 0.6923 0.1245  3 Zn 2.36-2.48, 4 Ni 2.43-2.52
Ni10 0.5000 0.6923 0.8755  3 Zn 2.36-2.48, 4 Ni 2.43-2.52

Summary:
**ΔE_f**: -171 meV per atom
**E**: -4.678 eV per atom
**Density of states at the Fermi level**: 0.45 states/eV/atom
**Symmetry**: Immm, No. 71
**Total magnetic moment**: 0.0 μB per formula unit